Entry 1:
# Gd2IrS, optimized geometry, DFT GGA-PBE
# Total magnetic moment   42.75 μB/cell
# Formation energy (no corrections)   -1309 meV per atom
# DOS at the Fermi energy   0.543 states/eV per atom
data_Gd2IrS
_symmetry_space_group_name_H-M 'R -3 m'
_symmetry_Int_Tables_number 166
_symmetry_space_group_name_Hall '-R 3 2"'
_cell_length_a 3.9499
_cell_length_b 3.9499
_cell_length_c 20.9241
_cell_angle_alpha 90.00
_cell_angle_beta 90.00
_cell_angle_gamma 120.00
loop_
_atom_site_label
_atom_site_type_symbol
_atom_site_fract_x
_atom_site_fract_y
_atom_site_fract_z
Gd1 Gd 0.0000 0.0000 0.2466
Ir1 Ir 0.0000 0.0000 0.5000
S1 S 0.0000 0.0000 0.0000

=====

Entry 2:
# K2RbIn2, optimized geometry, DFT GGA-PBE
# Total magnetic moment   0.00 μB/cell
# Energy of formation   0.021 eV/atom
# DOS at the Fermi energy   1.168 states/eV per atom
data_K2RbIn2
_symmetry_space_group_name_H-M 'P 4/m b m'
_symmetry_Int_Tables_number 127
_symmetry_space_group_name_Hall '-P 4 2ab'
_cell_length_a 10.355
_cell_length_b 10.355
_cell_length_c 4.265
_cell_angle_alpha 90.00
_cell_angle_beta 90.00
_cell_angle_gamma 90.00
loop_
_atom_site_label
_atom_site_type_symbol
_atom_site_fract_x
_atom_site_fract_y
_atom_site_fract_z
K1 K 0.185 0.315 0.000
Rb1 Rb 0.000 0.000 0.500
In1 In 0.101 0.601 0.500

=====

Entry 3:
# Y2Fe5Co12, optimized geometry, DFT GGA-PBE
# Total magnetic moment   88.29 μB/cell
# Energy of formation   -0.100 eV/atom
# DOS at the Fermi energy   1.007 states/eV per atom
data_Y2Fe5Co12
_symmetry_space_group_name_H-M 'R -3 m'
_symmetry_Int_Tables_number 166
_symmetry_space_group_name_Hall '-R 3 2"'
_cell_length_a 8.3443
_cell_length_b 8.3443
_cell_length_c 12.2143
_cell_angle_alpha 90.00
_cell_angle_beta 90.00
_cell_angle_gamma 120.00
loop_
_atom_site_label
_atom_site_type_symbol
_atom_site_fract_x
_atom_site_fract_y
_atom_site_fract_z
Y1 Y 0.0000 0.0000 0.1575
Fe1 Fe 0.0000 0.0000 0.4043
Fe2 Fe 0.0000 0.5000 0.0000
Co1 Co 0.0000 0.2893 0.5000
Co2 Co 0.0022 0.5011 0.6553

=====

Entry 4:
# Ir2C, optimized geometry, DFT GGA-PBE
# Total magnetic moment   0.00 μB/cell
# Energy of formation   1.480 eV/atom
# DOS at the Fermi energy   0.875 states/eV per atom
data_Ir2C
_symmetry_space_group_name_H-M 'P 63/m m c'
_symmetry_Int_Tables_number 194
_symmetry_space_group_name_Hall '-P 6c 2c'
_cell_length_a 5.7370
_cell_length_b 5.7370
_cell_length_c 8.4398
_cell_angle_alpha 90.00
_cell_angle_beta 90.00
_cell_angle_gamma 120.00
loop_
_atom_site_label
_atom_site_type_symbol
_atom_site_fract_x
_atom_site_fract_y
_atom_site_fract_z
Ir1 Ir 0.0000 0.0000 0.0000
Ir2 Ir 0.1529 0.3058 0.2500
C1 C 0.3333 0.6667 0.1489

=====

Entry 5:
# Sr2SbPd3, optimized geometry, DFT GGA-PBE
# Total magnetic moment   0.00 μB/cell
# Formation energy (no corrections)   -642 meV per atom
# DOS at the Fermi energy   0.769 states/eV per atom
data_Sr2SbPd3
_symmetry_space_group_name_H-M 'F m m m'
_symmetry_Int_Tables_number 69
_symmetry_space_group_name_Hall '-F 2 2'
_cell_length_a 8.864
_cell_length_b 9.063
_cell_length_c 15.740
_cell_angle_alpha 90.00
_cell_angle_beta 90.00
_cell_angle_gamma 90.00
loop_
_atom_site_label
_atom_site_type_symbol
_atom_site_fract_x
_atom_site_fract_y
_atom_site_fract_z
Sr1 Sr 0.244 0.000 0.000
Sr2 Sr 0.250 0.250 0.250
Sb1 Sb 0.000 0.000 0.335
Pd1 Pd 0.000 0.000 0.169
Pd2 Pd 0.000 0.250 0.084

=====

Entry 6:
# Nb5PtRh4, optimized geometry, DFT GGA-PBE
# Total magnetic moment   0.00 μB/cell
# Energy of formation   -0.456 eV/atom
# DOS at the Fermi energy   1.120 states/eV per atom
data_Nb5PtRh4
_symmetry_space_group_name_H-M 'P 4/m m m'
_symmetry_Int_Tables_number 123
_symmetry_space_group_name_Hall '-P 4 2'
_cell_length_a 2.867
_cell_length_b 2.867
_cell_length_c 19.617
_cell_angle_alpha 90.00
_cell_angle_beta 90.00
_cell_angle_gamma 90.00
loop_
_atom_site_label
_atom_site_type_symbol
_atom_site_fract_x
_atom_site_fract_y
_atom_site_fract_z
Nb1 Nb 0.000 0.000 0.000
Nb2 Nb 0.000 0.000 0.198
Nb3 Nb 0.000 0.000 0.395
Pt1 Pt 0.500 0.500 0.500
Rh1 Rh 0.500 0.500 0.099
Rh2 Rh 0.500 0.500 0.297

=====

Entry 7:
# CaNd2BeO5, optimized geometry, DFT GGA-PBE
# Total magnetic moment   0.00 μB/cell
# Formation energy (no corrections)   -3123 meV per atom
# DOS at the Fermi energy   0.000 states/eV per atom
data_CaNd2BeO5
_symmetry_space_group_name_H-M 'P n a 21'
_symmetry_Int_Tables_number 33
_cell_length_a 9.518
_cell_length_b 6.528
_cell_length_c 7.209
_cell_angle_alpha 90.00
_cell_angle_beta 90.00
_cell_angle_gamma 90.00
loop_
_symmetry_equiv_pos_as_xyz
'x,y,z'
'-x,-y,z+1/2'
'-x+1/2,y+1/2,z+1/2'
'x+1/2,-y+1/2,z'
loop_
_atom_site_label
_atom_site_type_symbol
_atom_site_fract_x
_atom_site_fract_y
_atom_site_fract_z
Ca1 Ca 0.178 0.079 0.000
Nd1 Nd 0.023 0.598 0.766
Nd2 Nd 0.171 0.072 0.547
Be1 Be 0.104 0.807 0.268
O1 O 0.012 0.019 0.270
O2 O 0.071 0.687 0.077
O3 O 0.075 0.693 0.462
O4 O 0.222 0.360 0.769
O5 O 0.226 0.333 0.268

=====

Entry 8:
# Pu2SbSe, optimized geometry, DFT GGA-PBE
# Total magnetic moment   43.78 μB/cell
# Formation energy (no corrections)   -1061 meV per atom
# DOS at the Fermi energy   5.438 states/eV per atom
data_Pu2SbSe
_symmetry_space_group_name_H-M 'I 41/a m d'
_symmetry_Int_Tables_number 141
_cell_length_a 6.106
_cell_length_b 6.106
_cell_length_c 12.142
_cell_angle_alpha 90.00
_cell_angle_beta 90.00
_cell_angle_gamma 90.00
loop_
_symmetry_equiv_pos_as_xyz
'x,y,z'
'-x,-y,-z'
'-y+1/4,x+3/4,z+1/4'
'y+1/4,-x+3/4,-z+1/4'
'-x+1/2,-y,z+1/2'
'x+1/2,y,-z+1/2'
'y+1/4,-x+1/4,z+3/4'
'-y+1/4,x+1/4,-z+3/4'
'x,-y,-z'
'-x,y,z'
'-y+1/4,-x+1/4,-z+3/4'
'y+1/4,x+1/4,z+3/4'
'-x+1/2,y,-z+1/2'
'x+1/2,-y,z+1/2'
'y+1/4,x+3/4,-z+1/4'
'-y+1/4,-x+3/4,z+1/4'
'x+1/2,y+1/2,z+1/2'
'-x+1/2,-y+1/2,-z+1/2'
'-y+3/4,x+1/4,z+3/4'
'y+3/4,-x+1/4,-z+3/4'
'-x,-y+1/2,z'
'x,y+1/2,-z'
'y+3/4,-x+3/4,z+1/4'
'-y+3/4,x+3/4,-z+1/4'
'x+1/2,-y+1/2,-z+1/2'
'-x+1/2,y+1/2,z+1/2'
'-y+3/4,-x+3/4,-z+1/4'
'y+3/4,x+3/4,z+1/4'
'-x,y+1/2,-z'
'x,-y+1/2,z'
'y+3/4,x+1/4,-z+3/4'
'-y+3/4,-x+1/4,z+3/4'
loop_
_atom_site_label
_atom_site_type_symbol
_atom_site_fract_x
_atom_site_fract_y
_atom_site_fract_z
Pu1 Pu 0.000 0.250 0.117
Sb1 Sb 0.000 0.250 0.375
Se1 Se 0.000 0.250 0.875

=====

no.,density (kg/m3)
1,9493
2,2856
3,7875
4,10946
5,6474
6,11032
7,6192
8,10107